# SrMg2VF8

A geometry-optimized SrMg2VF8 structure (PBE with a Hubbard U, the Alexandria database).

Properties
VASP energy   -67.659 eV for the cell shown

a = 5.0018 Å, b = 6.5951 Å, c = 5.0121 Å
α = 90.00°, β = 91.14°, γ = 90.00°
Space group P2/m (No. 10)
Asymmetric unit:
Sr (0.0000, 0.0000, 0.0000) (multiplicity 1)
Mg (0.5000, 0.2607, 0.5000) (multiplicity 2)
V (0.0000, 0.5000, 0.0000) (multiplicity 1)
F (0.2210, 0.2775, 0.2148) (multiplicity 4)
F (0.3046, 0.5000, 0.6905) (multiplicity 2)
F (0.3271, 0.0000, 0.6647) (multiplicity 2)